Here is a relaxed structure of PmMgF5 from Alexandria. Energies are from PBE.

Computed properties:
Raw total energy in eV per cell: -85.2
M_tot in μB per cell: 0.00
E_form (uncorrected) in eV per atom: -3.841
ρ in g cm⁻³: 4.078
SG: No. 15

Cell lengths 5.6739, 5.6739, 7.7439 Å; angles 109.88, 109.88, 72.13 degrees
Atoms (fractional coordinates):
Pm  0.0572  0.9428  0.7500
Pm  0.9428  0.0572  0.2500
Mg  0.5000  0.5000  0.0000
Mg  0.5000  0.5000  0.5000
F  0.1875  0.7968  0.0339
F  0.2032  0.8125  0.4661
F  0.2468  0.2840  0.3801
F  0.2840  0.2468  0.8801
F  0.4095  0.5905  0.7500
F  0.5905  0.4095  0.2500
F  0.7160  0.7532  0.1199
F  0.7532  0.7160  0.6199
F  0.7968  0.1875  0.5339
F  0.8125  0.2032  0.9661